1.
An optimized crystal structure of BSbTeN2. Source: Alexandria via LeMat-Bulk, functional PBE-GGA.

VASP energy: -4.251 eV per atom
Energy relative to the elements, uncorrected: 9.34 eV per formula unit
Offset from the most stable computed form: 54 meV per atom
Crystal system: tetragonal

Geometry as CIF:
```
data_BSbTeN2
_chemical_formula_sum 'B1 Sb1 Te1 N2'
_space_group_name_H-M_alt 'P 4/m m m'
_space_group_IT_number 123
_space_group_name_Hall '-P 4 2'
_cell_length_a 3.876
_cell_length_b 3.876
_cell_length_c 6.917
_cell_angle_alpha 90.00
_cell_angle_beta 90.00
_cell_angle_gamma 90.00
loop_
_atom_site_label
_atom_site_type_symbol
_atom_site_fract_x
_atom_site_fract_y
_atom_site_fract_z
B1 B 0.000 0.000 0.000
Sb1 Sb 0.500 0.500 0.500
Te1 Te 0.500 0.500 0.000
N1 N 0.000 0.500 0.500
```

---

2.
An optimized crystal structure of Ho5ErBi4. Source: Alexandria via LeMat-Bulk, functional PBE-GGA.

ΔE_f: -0.537 eV per atom
VASP energy: -4.835 eV per atom
Crystal system: monoclinic

Geometry as CIF:
```
data_Ho5ErBi4
_chemical_formula_sum 'Ho10 Er2 Bi8'
_space_group_name_H-M_alt 'C 1 2/m 1'
_space_group_IT_number 12
_cell_length_a 19.755
_cell_length_b 4.374
_cell_length_c 7.679
_cell_angle_alpha 90.00
_cell_angle_beta 101.36
_cell_angle_gamma 90.00
loop_
_space_group_symop_operation_xyz
'x,y,z'
'-x,-y,-z'
'-x,y,-z'
'x,-y,z'
'x+1/2,y+1/2,z'
'-x+1/2,-y+1/2,-z'
'-x+1/2,y+1/2,-z'
'x+1/2,-y+1/2,z'
loop_
_atom_site_label
_atom_site_type_symbol
_atom_site_fract_x
_atom_site_fract_y
_atom_site_fract_z
Ho1 Ho 0.000 0.000 0.000
Ho2 Ho 0.188 0.500 0.586
Ho3 Ho 0.196 0.500 0.113
Er1 Er 0.000 0.000 0.500
Bi1 Bi 0.062 0.500 0.281
Bi2 Bi 0.134 0.000 0.825
```

---

3.
An optimized crystal structure of KCrCd. Source: Alexandria via LeMat-Bulk, functional PBE-GGA.

ΔE_f: 0.821 eV per atom
VASP energy: -3.058 eV per atom
Offset from the most stable computed form: 236 meV per atom
Crystal system: cubic

Geometry as CIF:
```
data_KCrCd
_chemical_formula_sum 'K4 Cr4 Cd4'
_space_group_name_H-M_alt 'F -4 3 m'
_space_group_IT_number 216
_space_group_name_Hall 'F -4 2 3'
_cell_length_a 7.423
_cell_length_b 7.423
_cell_length_c 7.423
_cell_angle_alpha 90.00
_cell_angle_beta 90.00
_cell_angle_gamma 90.00
loop_
_atom_site_label
_atom_site_type_symbol
_atom_site_fract_x
_atom_site_fract_y
_atom_site_fract_z
K1 K 0.000 0.000 0.000
Cr1 Cr 0.250 0.250 0.750
Cd1 Cd 0.000 0.000 0.500
```

---

4.
An optimized crystal structure of Tl2InRh2. Source: Alexandria via LeMat-Bulk, functional PBE-GGA.

ΔE_f: 0.269 eV per atom
VASP energy: -4.165 eV per atom
Offset from the most stable computed form: 293 meV per atom
Crystal system: tetragonal

Geometry as CIF:
```
data_Tl2InRh2
_chemical_formula_sum 'Tl4 In2 Rh4'
_space_group_name_H-M_alt 'I 4/m m m'
_space_group_IT_number 139
_space_group_name_Hall '-I 4 2'
_cell_length_a 4.095
_cell_length_b 4.095
_cell_length_c 12.876
_cell_angle_alpha 90.00
_cell_angle_beta 90.00
_cell_angle_gamma 90.00
loop_
_atom_site_label
_atom_site_type_symbol
_atom_site_fract_x
_atom_site_fract_y
_atom_site_fract_z
Tl1 Tl 0.000 0.500 0.250
In1 In 0.000 0.000 0.000
Rh1 Rh 0.000 0.000 0.401
```